a.
Crystalline YSn2I2 at its relaxed geometry, computed with PBE. Values from VASP.

Results
- Size of the total moment: 0.00 μB/f.u.
- Volume: 189 Å³/f.u.

Structure (Quantum ESPRESSO input):
```
&SYSTEM
  ibrav = 0, nat = 10, ntyp = 3
/
ATOMIC_SPECIES
I 126.90 I.upf
Sn 118.71 Sn.upf
Y 88.91 Y.upf
CELL_PARAMETERS angstrom
8.056 0.000 0.000
0.000 8.056 0.000
0.000 0.000 5.813
ATOMIC_POSITIONS angstrom
I 1.803 2.225 2.906
I 2.225 6.252 2.906
I 5.831 1.803 2.906
I 6.252 5.831 2.906
Sn 1.038 2.990 0.000
Sn 2.990 7.018 0.000
Sn 7.018 5.066 0.000
Sn 5.066 1.038 0.000
Y 0.000 0.000 0.000
Y 4.028 4.028 0.000
```



b.
Crystalline YSn2I2 at its relaxed geometry, computed with PBE. Values from VASP.

Results
- Size of the total moment: 0.00 μB/f.u.
- Volume: 180 Å³/f.u.

Structure (Quantum ESPRESSO input):
```
&SYSTEM
  ibrav = 0, nat = 5, ntyp = 3
/
ATOMIC_SPECIES
I 126.90 I.upf
Sn 118.71 Sn.upf
Y 88.91 Y.upf
CELL_PARAMETERS angstrom
-0.660 -4.634 -2.219
1.382 -2.315 4.424
-6.046 -3.512 3.084
ATOMIC_POSITIONS angstrom
I -2.152 -4.651 4.305
I -3.173 -5.810 0.984
Sn -4.368 -6.979 3.779
Sn -0.956 -3.482 1.510
Y 0.000 0.000 0.000
```



Short version: b is the least stable of them.



a.
Crystalline ZnSn2I at its relaxed geometry, computed with PBE. Values from VASP.

Results
- Size of the total moment: 0.00 μB/f.u.
- Volume: 114 Å³/f.u.

Structure (Quantum ESPRESSO input):
```
&SYSTEM
  ibrav = 0, nat = 4, ntyp = 3
/
ATOMIC_SPECIES
I 126.90 I.upf
Sn 118.71 Sn.upf
Zn 65.41 Zn.upf
CELL_PARAMETERS angstrom
-1.699 3.044 -0.339
-2.430 0.380 -2.493
-8.902 -2.300 5.867
ATOMIC_POSITIONS angstrom
I 0.000 0.000 0.000
Sn -6.357 2.406 -0.817
Sn -6.675 -1.282 3.852
Zn -6.516 0.562 1.517
```



b.
Crystalline ZnSn2I at its relaxed geometry, computed with PBE. Values from VASP.

Results
- Size of the total moment: 0.00 μB/f.u.
- Volume: 149 Å³/f.u.

Structure (Quantum ESPRESSO input):
```
&SYSTEM
  ibrav = 0, nat = 8, ntyp = 3
/
ATOMIC_SPECIES
I 126.90 I.upf
Sn 118.71 Sn.upf
Zn 65.41 Zn.upf
CELL_PARAMETERS angstrom
6.595 0.000 0.000
0.000 6.595 0.000
3.297 3.297 6.855
ATOMIC_POSITIONS angstrom
I 0.000 0.000 0.000
I 6.595 3.297 3.427
Sn 4.946 5.496 5.141
Sn 2.199 4.946 1.714
Sn 4.395 1.649 1.714
Sn 8.243 7.693 5.141
Zn 3.297 3.297 0.000
Zn 3.297 6.595 3.427
```



c.
Crystalline ZnSn2I at its relaxed geometry, computed with PBE. Values from VASP.

Results
- Size of the total moment: 0.00 μB/f.u.
- Volume: 111 Å³/f.u.

Structure (Quantum ESPRESSO input):
```
&SYSTEM
  ibrav = 0, nat = 4, ntyp = 3
/
ATOMIC_SPECIES
Sn 118.71 Sn.upf
I 126.90 I.upf
Zn 65.41 Zn.upf
CELL_PARAMETERS angstrom
0.000 3.816 3.816
3.816 0.000 3.816
3.816 3.816 0.000
ATOMIC_POSITIONS angstrom
Sn 1.908 1.908 1.908
Sn 5.723 5.723 5.723
I 3.816 3.816 3.816
Zn 0.000 0.000 0.000
```



Short version: c is the least stable of them.



a.
Crystalline ZnSn2I2 at its relaxed geometry, computed with PBE. Values from VASP.

Results
- Size of the total moment: 0.00 μB/f.u.
- Volume: 184 Å³/f.u.

Structure (Quantum ESPRESSO input):
```
&SYSTEM
  ibrav = 0, nat = 5, ntyp = 3
/
ATOMIC_SPECIES
I 126.90 I.upf
Sn 118.71 Sn.upf
Zn 65.41 Zn.upf
CELL_PARAMETERS angstrom
-4.063 3.823 -3.288
-5.042 -3.150 2.568
-4.609 3.162 2.996
ATOMIC_POSITIONS angstrom
I -7.101 0.175 2.602
I -6.612 3.661 -0.326
Sn -9.140 2.454 1.394
Sn -4.573 1.382 0.881
Zn 0.000 0.000 0.000
```



b.
Crystalline ZnSn2I2 at its relaxed geometry, computed with PBE. Values from VASP.

Results
- Size of the total moment: 0.00 μB/f.u.
- Volume: 159 Å³/f.u.

Structure (Quantum ESPRESSO input):
```
&SYSTEM
  ibrav = 0, nat = 10, ntyp = 3
/
ATOMIC_SPECIES
Zn 65.41 Zn.upf
I 126.90 I.upf
Sn 118.71 Sn.upf
CELL_PARAMETERS angstrom
7.667 0.000 0.000
0.000 7.667 0.000
0.000 0.000 5.415
ATOMIC_POSITIONS angstrom
Zn 3.833 3.833 0.000
Zn 0.000 0.000 0.000
I 5.304 6.196 2.708
I 6.196 2.362 2.708
I 1.471 5.304 2.708
I 2.362 1.471 2.708
Sn 6.438 5.062 0.000
Sn 2.605 6.438 0.000
Sn 1.228 2.605 0.000
Sn 5.062 1.228 0.000
```



Short version: a is the least stable of them.



a.
Crystalline ZnSnI3 at its relaxed geometry, computed with PBE. Values from VASP.

Results
- Size of the total moment: 0.00 μB/f.u.
- Volume: 174 Å³/f.u.

Structure (Quantum ESPRESSO input):
```
&SYSTEM
  ibrav = 0, nat = 5, ntyp = 3
/
ATOMIC_SPECIES
I 126.90 I.upf
Sn 118.71 Sn.upf
Zn 65.41 Zn.upf
CELL_PARAMETERS angstrom
5.583 0.000 0.000
0.000 5.583 0.000
0.000 0.000 5.583
ATOMIC_POSITIONS angstrom
I 0.000 2.792 0.000
I 2.792 0.000 0.000
I 0.000 0.000 2.792
Sn 2.792 2.792 2.792
Zn 0.000 0.000 0.000
```



b.
Crystalline ZnSnI3 at its relaxed geometry, computed with PBE. Values from VASP.

Results
- Size of the total moment: 0.52 μB/f.u.
- Volume: 221 Å³/f.u.

Structure (Quantum ESPRESSO input):
```
&SYSTEM
  ibrav = 0, nat = 5, ntyp = 3
/
ATOMIC_SPECIES
I 126.90 I.upf
Zn 65.41 Zn.upf
Sn 118.71 Sn.upf
CELL_PARAMETERS angstrom
-2.809 -2.509 4.731
-2.775 -3.887 -3.710
4.580 -3.894 0.654
ATOMIC_POSITIONS angstrom
I -1.387 -1.944 -1.855
I 2.290 -1.947 0.327
I -1.405 -1.255 2.365
Zn -0.502 -5.145 0.838
Sn 0.000 0.000 0.000
```



Short version: b is the least stable of them.



a.
Crystalline ZnSnI4 at its relaxed geometry, computed with PBE. Values from VASP.

Results
- Size of the total moment: 0.00 μB/f.u.
- Volume: 256 Å³/f.u.

Structure (Quantum ESPRESSO input):
```
&SYSTEM
  ibrav = 0, nat = 12, ntyp = 3
/
ATOMIC_SPECIES
I 126.90 I.upf
Sn 118.71 Sn.upf
Zn 65.41 Zn.upf
CELL_PARAMETERS angstrom
-2.201 -7.142 -1.991
1.381 4.270 -6.265
9.187 -1.291 4.205
ATOMIC_POSITIONS angstrom
I 8.044 -1.982 -3.328
I 1.325 -6.364 -1.188
I -0.020 -3.390 -4.385
I 8.387 -0.773 0.334
I 7.042 2.201 -2.864
I 5.199 -3.655 -0.168
I 3.168 -0.508 -3.883
I 0.323 -2.181 -0.723
Sn 6.820 -4.857 -2.496
Sn 1.547 0.694 -1.556
Zn 7.209 -3.414 1.632
Zn 1.158 -0.748 -5.684
```



b.
Crystalline ZnSnI4 at its relaxed geometry, computed with PBE. Values from VASP.

Results
- Size of the total moment: 0.00 μB/f.u.
- Volume: 248 Å³/f.u.

Structure (Quantum ESPRESSO input):
```
&SYSTEM
  ibrav = 0, nat = 12, ntyp = 3
/
ATOMIC_SPECIES
I 126.90 I.upf
Zn 65.41 Zn.upf
Sn 118.71 Sn.upf
CELL_PARAMETERS angstrom
4.293 0.000 0.000
0.000 7.719 -0.025
0.000 -0.209 14.952
ATOMIC_POSITIONS angstrom
I 2.146 1.464 5.714
I 2.214 0.913 13.293
I 4.226 4.878 5.805
I 0.067 2.633 9.123
I 4.293 2.291 1.750
I 0.001 5.219 13.177
I 2.080 6.597 1.634
I 2.147 6.046 9.214
Zn 2.147 3.755 7.464
Zn 0.000 0.000 0.000
Sn 0.000 -0.104 7.476
Sn 2.147 3.860 -0.012
```



Short version: a is the least stable of them.



a.
Crystalline ZnSn3I at its relaxed geometry, computed with PBE. Values from VASP.

Results
- Size of the total moment: 0.00 μB/f.u.
- Volume: 207 Å³/f.u.

Structure (Quantum ESPRESSO input):
```
&SYSTEM
  ibrav = 0, nat = 5, ntyp = 3
/
ATOMIC_SPECIES
Sn 118.71 Sn.upf
Zn 65.41 Zn.upf
I 126.90 I.upf
CELL_PARAMETERS angstrom
5.918 0.000 0.000
0.000 5.918 0.000
0.000 0.000 5.918
ATOMIC_POSITIONS angstrom
Sn 0.000 0.000 2.959
Sn 2.959 0.000 0.000
Sn 0.000 2.959 0.000
Zn 2.959 2.959 2.959
I 0.000 0.000 0.000
```



b.
Crystalline ZnSn3I at its relaxed geometry, computed with PBE. Values from VASP.

Results
- Size of the total moment: 0.00 μB/f.u.
- Volume: 156 Å³/f.u.

Structure (Quantum ESPRESSO input):
```
&SYSTEM
  ibrav = 0, nat = 5, ntyp = 3
/
ATOMIC_SPECIES
Sn 118.71 Sn.upf
I 126.90 I.upf
Zn 65.41 Zn.upf
CELL_PARAMETERS angstrom
5.386 0.000 0.000
0.000 5.386 0.000
0.000 0.000 5.386
ATOMIC_POSITIONS angstrom
Sn 0.000 2.693 0.000
Sn 2.693 0.000 0.000
Sn 0.000 0.000 2.693
I 2.693 2.693 2.693
Zn 0.000 0.000 0.000
```



Short version: a is the least stable of them.